Entry 1:
Here is a geometry-optimized LaLuMg2 structure from Alexandria via LeMat-Bulk. Energies are from PBE.

a = 3.758 Å, b = 3.758 Å, c = 8.071 Å
α = 90.00°, β = 90.00°, γ = 90.00°
Element x y z (fractional)
Mg1 0.000 0.000 0.772
Mg2 0.000 0.000 0.228
Lu1 0.500 0.500 0.000
La1 0.500 0.500 0.500

Output
D(E_F): 4.86 states/eV per cell
polymorph energy (0 for the lowest one): 0.020 eV/atom
crystal system: tetragonal
uncorrected energy: -12.90 eV/cell
symmetry: No. 123
energy relative to the elements: -0.07 eV/atom

=====

Entry 2:
Here is a geometry-optimized LaLu2Mg structure from Alexandria via LeMat-Bulk. Energies are from PBE.

a = 5.024 Å, b = 4.891 Å, c = 4.891 Å
α = 90.00°, β = 90.00°, γ = 90.00°
Element x y z (fractional)
Mg1 0.500 0.500 0.500
Lu1 0.000 0.000 0.500
Lu2 0.000 0.500 0.000
La1 0.500 0.000 0.000

Output
D(E_F): 6.35 states/eV per cell
polymorph energy (0 for the lowest one): 0.038 eV/atom
crystal system: tetragonal
uncorrected energy: -15.42 eV/cell
symmetry: No. 123
energy relative to the elements: 0.04 eV/atom

=====

Entry 3:
Here is a geometry-optimized LaLu2Mg structure from Alexandria via LeMat-Bulk. Energies are from PBE.

a = 3.647 Å, b = 3.647 Å, c = 8.970 Å
α = 90.00°, β = 90.00°, γ = 90.00°
Element x y z (fractional)
Mg1 0.500 0.500 0.000
Lu1 0.000 0.000 0.781
Lu2 0.000 0.000 0.219
La1 0.500 0.500 0.500

Output
D(E_F): 5.46 states/eV per cell
polymorph energy (0 for the lowest one): 0.000 eV/atom
crystal system: tetragonal
uncorrected energy: -15.57 eV/cell
symmetry: No. 123
energy relative to the elements: 0.00 eV/atom

=====

Entry 4:
Here is a geometry-optimized LaLuMgOs structure from Alexandria via LeMat-Bulk. Energies are from PBE.

a = 5.071 Å, b = 5.071 Å, c = 5.071 Å
α = 60.00°, β = 60.00°, γ = 60.00°
Element x y z (fractional)
Mg1 0.000 0.000 0.000
Lu1 0.250 0.250 0.250
Os1 0.500 0.500 0.500
La1 0.750 0.750 0.750

Output
D(E_F): 3.45 states/eV per cell
crystal system: cubic
uncorrected energy: -22.52 eV/cell
symmetry: No. 216
energy relative to the elements: -0.06 eV/atom

=====

Entry 5:
Here is a geometry-optimized LaLuPuMg structure from Alexandria via LeMat-Bulk. Energies are from PBE.

a = 5.505 Å, b = 5.505 Å, c = 5.505 Å
α = 60.00°, β = 60.00°, γ = 60.00°
Site moments in Bohr magnetons follow the coordinates.
Element x y z (fractional)
Mg1 0.250 0.250 0.250  0.01
Lu1 0.000 0.000 0.000  -0.17
La1 0.500 0.500 0.500  -0.19
Pu1 0.750 0.750 0.750  -5.60

Output
D(E_F): 15.70 states/eV per cell
crystal system: cubic
uncorrected energy: -24.75 eV/cell
symmetry: No. 216
energy relative to the elements: 0.16 eV/atom

=====

Entry 6:
Here is a geometry-optimized LaSmLuMg structure from Alexandria via LeMat-Bulk. Energies are from PBE.

a = 5.593 Å, b = 5.593 Å, c = 5.593 Å
α = 60.00°, β = 60.00°, γ = 60.00°
Element x y z (fractional)
Mg1 0.000 0.000 0.000
Lu1 0.500 0.500 0.500
Sm1 0.250 0.250 0.250
La1 0.750 0.750 0.750

Output
D(E_F): 4.55 states/eV per cell
crystal system: cubic
uncorrected energy: -15.76 eV/cell
symmetry: No. 216
energy relative to the elements: 0.00 eV/atom

=====

Entry 7:
Here is a geometry-optimized LaLuMgTl structure from Alexandria via LeMat-Bulk. Energies are from PBE.

a = 5.447 Å, b = 5.447 Å, c = 5.447 Å
α = 60.00°, β = 60.00°, γ = 60.00°
Element x y z (fractional)
Tl1 0.000 0.000 0.000
Lu1 0.250 0.250 0.250
Mg1 0.500 0.500 0.500
La1 0.750 0.750 0.750

Output
D(E_F): 3.51 states/eV per cell
crystal system: cubic
uncorrected energy: -14.33 eV/cell
symmetry: No. 216
energy relative to the elements: -0.23 eV/atom

=====

Entry 8:
Here is a geometry-optimized LaYLuMg structure from Alexandria via LeMat-Bulk. Energies are from PBE.

a = 5.573 Å, b = 5.573 Å, c = 5.573 Å
α = 60.00°, β = 60.00°, γ = 60.00°
Element x y z (fractional)
Y1 0.750 0.750 0.750
Mg1 0.500 0.500 0.500
Lu1 0.000 0.000 0.000
La1 0.250 0.250 0.250

Output
D(E_F): 4.78 states/eV per cell
crystal system: cubic
uncorrected energy: -17.48 eV/cell
symmetry: No. 216
energy relative to the elements: 0.01 eV/atom

=====

Entry 9:
Here is a geometry-optimized LaLu2Mn structure from Alexandria via LeMat-Bulk. Energies are from PBE.

a = 3.436 Å, b = 3.436 Å, c = 9.070 Å
α = 90.00°, β = 90.00°, γ = 90.00°
Site moments in Bohr magnetons follow the coordinates.
Element x y z (fractional)
Lu1 0.000 0.000 0.814  0.18
Lu2 0.000 0.000 0.186  0.18
Mn1 0.500 0.500 0.000  -3.07
La1 0.500 0.500 0.500  -0.03

Output
D(E_F): 5.74 states/eV per cell
crystal system: tetragonal
uncorrected energy: -22.78 eV/cell
symmetry: No. 123
energy relative to the elements: 0.09 eV/atom

=====

Entry 10:
Here is a geometry-optimized LaPmLuMn structure from Alexandria via LeMat-Bulk. Energies are from PBE.

a = 5.461 Å, b = 5.461 Å, c = 5.461 Å
α = 60.00°, β = 60.00°, γ = 60.00°
Site moments in Bohr magnetons follow the coordinates.
Element x y z (fractional)
Lu1 0.500 0.500 0.500  -0.20
La1 0.750 0.750 0.750  -0.10
Mn1 0.000 0.000 0.000  3.88
Pm1 0.250 0.250 0.250  -0.15

Output
D(E_F): 5.12 states/eV per cell
crystal system: cubic
uncorrected energy: -22.30 eV/cell
symmetry: No. 216
energy relative to the elements: 0.27 eV/atom

=====

Entry 11:
Here is a geometry-optimized LaLuN structure from Alexandria via LeMat-Bulk. Energies are from PBE.

a = 6.455 Å, b = 3.487 Å, c = 3.487 Å
α = 120.00°, β = 90.00°, γ = 90.00°
Element x y z (fractional)
N1 0.300 0.333 0.667
Lu1 0.135 0.000 0.000
La1 0.566 0.667 0.333

Output
D(E_F): 2.83 states/eV per cell
crystal system: trigonal
uncorrected energy: -20.72 eV/cell
symmetry: No. 156

=====

Entry 12:
Here is a geometry-optimized NaLaLu structure from Alexandria via LeMat-Bulk. Energies are from PBE.

a = 3.580 Å, b = 3.580 Å, c = 8.499 Å
α = 102.16°, β = 102.16°, γ = 90.00°
Site moments in Bohr magnetons follow the coordinates.
Element x y z (fractional)
Na1 0.995 0.995 0.990  0.00
Lu1 0.327 0.327 0.653  0.20
La1 0.678 0.678 0.356  0.11

Output
D(E_F): 3.56 states/eV per cell
polymorph energy (0 for the lowest one): 0.029 eV/atom
crystal system: tetragonal
uncorrected energy: -10.26 eV/cell
symmetry: No. 107
energy relative to the elements: 0.17 eV/atom